PBE FeRhWS2, optimized geometry; ΔE_f (raw) = 1.313 eV per atom; calculated volume = 18.66 Å³/atom; crystal system = tetragonal; space group = No. 123
1.0
4.534 0.000 0.000
0.000 4.534 0.000
0.000 0.000 4.540
Fe Rh W S
1 1 1 2
direct
0.000 0.000 0.000 Fe
0.000 0.000 0.500 Rh
0.500 0.500 0.000 W
0.000 0.500 0.500 S
0.500 0.000 0.500 S